Y3ScTe | PBE-GGA | relaxed

Cell: 5.5214 5.5214 5.5214 Å, 90.00 90.00 90.00°
Closest atoms and distances in Å follow each position.
Positions (direct):
Sc1 0.0000 0.0000 0.0000  6 Y 2.76
Te1 0.5000 0.5000 0.5000  12 Y 3.90
Y1 0.0000 0.0000 0.5000  2 Sc 2.76
Y2 0.5000 0.0000 0.0000  2 Sc 2.76
Y3 0.0000 0.5000 0.0000  2 Sc 2.76

Output
N(E_F): 1.039 states/eV/atom
Calculated volume: 33.66 Å³ per atom
E_tot: -5.331 eV per atom
Raw formation energy: 0.44 eV/atom


CeGeSb | PBE-GGA | relaxed

Cell: 4.1499 4.3951 8.6269 Å, 104.76 90.00 90.00°
Closest atoms and distances in Å follow each position.
Positions (direct):
Ge1 0.2500 0.4510 0.9019  2 Ge 2.64
Ge2 0.7500 0.5490 0.0981  2 Ge 2.64
Sb1 0.2500 0.7487 0.4974  4 Sb 3.02, 4 Ce 3.28-3.32
Sb2 0.7500 0.2513 0.5026  4 Sb 3.02, 4 Ce 3.28-3.32
Ce1 0.7500 0.9007 0.8013  6 Ge 3.14-3.31, 4 Sb 3.28-3.32
Ce2 0.2500 0.0993 0.1987  6 Ge 3.14-3.31, 4 Sb 3.28-3.32

Output
N(E_F): 1.680 states/eV/atom
Calculated volume: 25.36 Å³ per atom
E_tot: -5.617 eV per atom
Raw formation energy: -0.73 eV/atom


Ta3Ge2 | PBE-GGA | relaxed

Cell: 3.5490 9.6841 10.2562 Å, 90.00 90.00 90.00°
Closest atoms and distances in Å follow each position.
Positions (direct):
Ge1 0.7500 0.6790 0.0440  7 Ta 2.61-2.74
Ge2 0.7500 0.8210 0.5440  7 Ta 2.61-2.74
Ge3 0.2500 0.5039 0.2965  7 Ta 2.64-2.73
Ge4 0.2500 0.9961 0.7965  7 Ta 2.64-2.73
Ge5 0.2500 0.1790 0.4560  7 Ta 2.61-2.74
Ge6 0.7500 0.0039 0.2035  7 Ta 2.64-2.73
Ge7 0.2500 0.3210 0.9560  7 Ta 2.61-2.74
Ge8 0.7500 0.4961 0.7035  7 Ta 2.64-2.73
Ta1 0.7500 0.4221 0.1220  5 Ge 2.61-2.65, 2 Ta 2.82
Ta2 0.7500 0.0779 0.6220  5 Ge 2.61-2.65, 2 Ta 2.82
Ta3 0.2500 0.5779 0.8780  5 Ge 2.61-2.65, 2 Ta 2.82
Ta4 0.7500 0.7878 0.7973  4 Ge 2.62-2.74, 2 Ta 2.82
Ta5 0.7500 0.1148 0.9593  5 Ge 2.67-2.73, 2 Ta 2.96
Ta6 0.2500 0.8852 0.0407  5 Ge 2.67-2.73, 2 Ta 2.96
Ta7 0.2500 0.2878 0.7027  4 Ge 2.62-2.74, 2 Ta 2.82
Ta8 0.7500 0.3852 0.4593  5 Ge 2.67-2.73, 2 Ta 2.96
Ta9 0.7500 0.7122 0.2973  4 Ge 2.62-2.74, 2 Ta 2.82
Ta10 0.2500 0.2122 0.2027  4 Ge 2.62-2.74, 2 Ta 2.82
Ta11 0.2500 0.6148 0.5407  5 Ge 2.67-2.73, 2 Ta 2.96
Ta12 0.2500 0.9221 0.3780  5 Ge 2.61-2.65, 2 Ta 2.82

Output
N(E_F): 0.548 states/eV/atom
Energy relative to the elements: -1.220 eV per formula unit
Calculated volume: 17.62 Å³ per atom
E_tot: -9.202 eV per atom


Mg2ScTc | PBE-GGA | relaxed

Cell: 2.8895 4.5516 5.6415 Å, 90.00 90.00 90.00°
Closest atoms and distances in Å follow each position.
Positions (direct):
Tc1 0.5000 0.5000 0.7500  2 Sc 2.82, 2 Tc 2.89, 8 Mg 3.00
Mg1 0.0000 0.0000 0.5179  3 Mg 2.62-2.89
Mg2 0.0000 0.0000 0.9821  3 Mg 2.62-2.89
Sc1 0.5000 0.5000 0.2500  2 Tc 2.82, 2 Sc 2.89, 8 Mg 3.09

Output
N(E_F): 0.672 states/eV/atom
Energy relative to the elements: 0.480 eV per formula unit
Calculated volume: 18.55 Å³ per atom
E_tot: -4.852 eV per atom


Si2Mo2Ir | PBE-GGA | relaxed

Cell: 6.0915 6.0915 3.8607 Å, 90.00 90.00 90.00°
Closest atoms and distances in Å follow each position.
Positions (direct):
Si1 0.8664 0.6336 0.0000  1 Si 2.30, 2 Ir 2.38, 2 Mo 2.56
Si2 0.1336 0.3664 0.0000  1 Si 2.30, 2 Ir 2.38, 2 Mo 2.56
Si3 0.3664 0.8664 0.0000  1 Si 2.30, 2 Ir 2.38, 2 Mo 2.56
Si4 0.6336 0.1336 0.0000  1 Si 2.30, 2 Ir 2.38, 2 Mo 2.56
Mo1 0.1715 0.6715 0.5000  6 Si 2.56-2.69
Mo2 0.3285 0.1715 0.5000  6 Si 2.56-2.69
Mo3 0.8285 0.3285 0.5000  6 Si 2.56-2.69
Mo4 0.6715 0.8285 0.5000  6 Si 2.56-2.69
Ir1 0.5000 0.5000 0.0000  4 Si 2.38
Ir2 0.0000 0.0000 0.0000  4 Si 2.38

Output
N(E_F): 1.296 states/eV/atom
Calculated volume: 14.33 Å³ per atom
E_tot: -8.654 eV per atom
Raw formation energy: -0.38 eV/atom


TaFeAu | PBE-GGA | relaxed

Cell: 4.3609 4.3720 6.5690 Å, 70.63 90.00 119.92°
Closest atoms and distances in Å follow each position.
Positions (direct):
Ta1 0.7889 0.5777 0.1345  4 Fe 2.36-2.63
Ta2 0.2111 0.4223 0.8655  4 Fe 2.36-2.63
Fe1 0.0825 0.1651 0.2538  4 Ta 2.36-2.63
Fe2 0.9175 0.8349 0.7462  4 Ta 2.36-2.63
Au1 0.3712 0.7424 0.3873  3 Fe 2.65, 3 Au 2.87, 4 Ta 2.90-2.96
Au2 0.6288 0.2576 0.6127  3 Fe 2.65, 3 Au 2.87, 4 Ta 2.90-2.96

Output
N(E_F): 0.717 states/eV/atom
Energy relative to the elements: 0.426 eV per formula unit
Calculated volume: 16.72 Å³ per atom
E_tot: -7.722 eV per atom


LiDy2PuSe4 | PBE-GGA | relaxed

Cell: 4.0796 7.0644 7.0899 Å, 109.63 90.00 90.00°
Closest atoms and distances in Å follow each position.
Positions (direct):
Se1 0.5000 0.7569 0.7510  3 Dy 2.86-2.91, 2 Li 2.86, 1 Pu 2.93
Se2 0.5000 0.2431 0.2490  3 Dy 2.86-2.91, 2 Li 2.86, 1 Pu 2.93
Se3 0.0000 0.2438 0.7492  1 Li 2.86, 3 Dy 2.86-2.92, 2 Pu 2.90
Se4 0.0000 0.7562 0.2508  1 Li 2.86, 3 Dy 2.86-2.92, 2 Pu 2.90
Dy1 0.5000 0.0000 0.5000  6 Se 2.86
Dy2 0.0000 0.5000 0.5000  6 Se 2.91-2.92
Li1 0.0000 0.0000 0.0000  6 Se 2.86
Pu1 0.5000 0.5000 0.0000  6 Se 2.90-2.93

Output
N(E_F): 1.565 states/eV/atom
Calculated volume: 24.06 Å³ per atom
E_tot: -6.591 eV per atom
Raw formation energy: -1.67 eV/atom


ScNF3 | PBE-GGA | relaxed

Cell: 4.1094 4.1094 4.1094 Å, 90.00 90.00 90.00°
Closest atoms and distances in Å follow each position.
Positions (direct):
Sc1 0.0000 0.0000 0.0000  6 F 2.05
F1 0.0000 0.5000 0.0000  2 Sc 2.05
F2 0.5000 0.0000 0.0000  2 Sc 2.05
F3 0.0000 0.0000 0.5000  2 Sc 2.05
N1 0.5000 0.5000 0.5000  12 F 2.91

Output
N(E_F): 0.000 states/eV/atom
Calculated volume: 13.88 Å³ per atom
E_tot: -6.149 eV per atom
Raw formation energy: -2.09 eV/atom


Question: Look up the calculated volume of the first one.
Answer: 33.66 Å³ per atom


Question: What is the calculated volume in the eighth record?
Answer: 13.88 Å³ per atom